First-principles (GGA-PBE) data for an optimized crystal structure of Mg2CuBr, as listed in the Alexandria database.

```
4
Lattice="-1.6812 1.7443 7.9307 1.6812 -1.7443 7.9307 1.6812 1.7443 -7.9307" Properties=species:S:1:pos:R:3 pbc="T T T"
Mg 0.0000 0.0000 0.0000
Mg 0.0000 1.7443 3.1492
Cu 0.0000 0.0000 8.9987
Br 1.6812 0.0000 4.6963
```

Computed properties:
Total magnetization in μB/cell: 0.00
DOS(E_F) in states/eV per atom: 0.341
Symmetry: Imm2
Volume in Å³ per cell: 93.0
E_form (uncorrected) in eV per atom: -0.257